NaCoNF2 (PBE+U, optimized geometry); distance to the lowest polymorph of the same formula = 25.138 kcal/mol of atoms; total energy = -0.267 Ry/atom
1.0
-3.591 1.802 0.197
-1.515 -2.743 -2.524
-1.079 -2.519 3.385
F Co N Na
2 1 1 1
Cartesian
-0.757 -1.371 -1.262
-1.796 0.901 0.098
-3.092 -1.730 0.529
-0.539 -1.260 1.692
0.000 0.000 0.000